[1]
## POsRu3 (PBE)

Data for crystalline POsRu3 at its relaxed geometry.

```
POsRu3
1.0
4.663 0.000 0.000
0.000 4.663 0.000
0.000 0.000 4.663
Ru Os P
3 1 1
Direct
0.000 0.500 0.000
0.000 0.000 0.500
0.500 0.000 0.000
0.000 0.000 0.000
0.500 0.500 0.500
```

* symmetry: No. 221
* distance to the lowest polymorph of the same formula: 1048 meV/atom
* energy relative to the elements: 1.94 eV per atom

***

[2]
## CdRu2Rh2 (PBE)

Data for crystalline CdRu2Rh2 at its relaxed geometry.

```
CdRu2Rh2
1.0
7.566 0.000 0.000
0.000 7.566 0.000
0.000 0.000 2.769
Ru Rh Cd
4 4 2
Direct
0.382 0.882 0.000
0.882 0.618 0.000
0.618 0.118 0.000
0.118 0.382 0.000
0.176 0.676 0.500
0.676 0.824 0.500
0.824 0.324 0.500
0.324 0.176 0.500
0.000 0.000 0.000
0.500 0.500 0.000
```

* symmetry: No. 127
* distance to the lowest polymorph of the same formula: 0 meV/atom
* energy relative to the elements: 0.23 eV per atom

***

[3]
## BaTe2Os (PBE)

Data for crystalline BaTe2Os at its relaxed geometry.

```
BaTe2Os
1.0
-7.289 -1.933 3.344
1.707 -8.019 -0.913
-1.230 -5.028 4.590
Te Os Ba
4 2 2
Direct
0.726 0.125 0.250
0.024 0.625 0.250
0.375 0.274 0.750
0.875 0.976 0.750
0.000 0.000 0.000
0.750 0.250 0.500
0.500 0.500 0.000
0.250 0.750 0.500
```

* symmetry: No. 122
* distance to the lowest polymorph of the same formula: 43 meV/atom
* formation energy without anion corrections: -0.400 eV/atom

***

[4]
## SrEu2Gd (PBE)

Data for crystalline SrEu2Gd at its relaxed geometry.

```
SrEu2Gd
1.0
4.293 0.000 0.000
0.000 6.200 0.000
0.000 0.000 6.200
Eu Sr Gd
2 1 1
Direct
0.000 0.000 0.500
0.000 0.500 0.000
0.500 0.000 0.000
0.500 0.500 0.500
```

* symmetry: No. 123
* distance to the lowest polymorph of the same formula: 46 meV/atom
* energy relative to the elements: 0.13 eV per atom

***

[5]
## SrMnAu2 (PBE)

Data for crystalline SrMnAu2 at its relaxed geometry.

```
SrMnAu2
1.0
4.961 0.000 0.000
2.480 4.296 0.000
2.480 1.432 4.050
Au Mn Sr
2 1 1
Direct
0.000 0.000 0.000
0.250 0.250 0.250
0.500 0.500 0.500
0.750 0.750 0.750
```

* symmetry: No. 216
* energy relative to the elements: -0.04 eV per atom

***

[6]
## MnCdSi2 (PBE)

Data for crystalline MnCdSi2 at its relaxed geometry.

```
MnCdSi2
1.0
-2.002 2.926 -2.255
-0.351 -2.705 -3.196
-8.372 -2.501 0.275
Si Mn Cd
4 2 2
Direct
0.529 0.125 0.250
0.221 0.625 0.250
0.375 0.471 0.750
0.875 0.779 0.750
0.500 0.500 0.000
0.250 0.750 0.500
0.000 0.000 0.000
0.750 0.250 0.500
```

* symmetry: No. 122
* formation energy without anion corrections: 0.320 eV/atom

***

[7]
## Mg4CdPd2Rh (PBE)

Data for crystalline Mg4CdPd2Rh at its relaxed geometry.

```
Mg4CdPd2Rh
1.0
-2.915 0.289 -3.504
-2.092 -3.754 -1.546
-7.312 0.016 3.108
Mg Cd Pd Rh
4 1 2 1
Direct
0.382 0.382 0.854
0.869 0.869 0.394
0.131 0.131 0.606
0.618 0.618 0.146
0.000 0.000 0.000
0.747 0.747 0.758
0.253 0.253 0.242
0.500 0.500 0.500
```

* symmetry: No. 166
* energy relative to the elements: -0.51 eV per atom

***

[8]
## Rb2In2I (PBE)

Data for crystalline Rb2In2I at its relaxed geometry.

```
Rb2In2I
1.0
-0.250 1.593 4.116
-1.321 -3.960 1.453
9.672 -4.035 4.522
I Rb In
1 2 2
Direct
0.000 0.000 0.000
0.401 0.401 0.198
0.599 0.599 0.802
0.750 0.250 0.500
0.250 0.750 0.500
```

* symmetry: No. 139
* distance to the lowest polymorph of the same formula: 0 meV/atom
* formation energy without anion corrections: -0.572 eV/atom

***

[9]
## Tm4Zn5Ni2 (PBE)

Data for crystalline Tm4Zn5Ni2 at its relaxed geometry.

```
Tm4Zn5Ni2
1.0
-0.046 -2.144 -2.851
4.672 -4.135 3.035
-6.797 -4.337 3.372
Tm Zn Ni
4 5 2
Direct
0.500 0.759 0.557
0.500 0.171 0.859
0.500 0.241 0.443
0.500 0.829 0.141
0.000 0.558 0.308
0.000 0.194 0.156
0.000 0.500 0.000
0.000 0.806 0.844
0.000 0.442 0.692
0.000 0.065 0.638
0.000 0.935 0.362
```

* symmetry: No. 10
* energy relative to the elements: -0.37 eV per atom

***

[10]
## BTe2N (PBE)

Data for crystalline BTe2N at its relaxed geometry.

```
BTe2N
1.0
0.444 -0.984 4.310
-3.597 -0.314 2.589
-1.304 -3.966 1.520
B Te N
1 2 1
Direct
0.000 0.000 0.000
0.250 0.250 0.250
0.750 0.750 0.750
0.500 0.500 0.500
```

* symmetry: No. 225
* distance to the lowest polymorph of the same formula: 625 meV/atom
* formation energy without anion corrections: 1.765 eV/atom

***

[11]
## LaMgTe2Pt (PBE)

Data for crystalline LaMgTe2Pt at its relaxed geometry.

```
LaMgTe2Pt
1.0
6.003 0.000 0.000
0.000 6.192 0.000
0.000 0.000 6.003
Mg Te Pt La
1 2 1 1
Direct
0.000 0.500 0.000
0.000 0.000 0.500
0.500 0.000 0.000
0.500 0.500 0.500
0.000 0.000 0.000
```

* symmetry: No. 123
* formation energy without anion corrections: 0.779 eV/atom

***

[12]
## TbGa5Ru2 (PBE)

Data for crystalline TbGa5Ru2 at its relaxed geometry.

```
TbGa5Ru2
1.0
-0.659 2.052 2.919
3.843 -2.414 4.820
5.324 3.864 0.741
Tb Ga Ru
1 5 2
Direct
0.000 0.000 0.000
0.000 0.500 0.500
0.645 0.559 0.150
0.355 0.441 0.850
0.355 0.850 0.441
0.645 0.150 0.559
0.757 0.743 0.743
0.243 0.257 0.257
```

* symmetry: No. 71
* energy relative to the elements: -0.38 eV per atom

***

[13]
## La2TePt2 (PBE)

Data for crystalline La2TePt2 at its relaxed geometry.

```
La2TePt2
1.0
-3.369 2.149 0.660
-0.237 -1.523 3.746
2.728 6.549 5.026
Te Pt La
1 2 2
Direct
0.000 0.000 0.000
0.750 0.250 0.500
0.250 0.750 0.500
0.379 0.379 0.242
0.621 0.621 0.758
```

* symmetry: No. 139
* distance to the lowest polymorph of the same formula: 49 meV/atom
* formation energy without anion corrections: -1.202 eV/atom

***

[14]
## Ba2AuCl (PBE)

Data for crystalline Ba2AuCl at its relaxed geometry.

```
Ba2AuCl
1.0
4.618 0.000 0.000
2.309 3.999 0.000
2.309 1.333 8.379
Ba Au Cl
2 1 1
Direct
0.076 0.076 0.772
0.259 0.259 0.223
0.668 0.668 0.995
0.497 0.497 0.510
```

* symmetry: No. 160
* distance to the lowest polymorph of the same formula: 23 meV/atom
* formation energy without anion corrections: -1.266 eV/atom

***

[15]
## Th2CoH (PBE)

Data for crystalline Th2CoH at its relaxed geometry.

```
Th2CoH
1.0
-1.027 3.320 -1.615
-2.163 2.491 1.950
4.338 4.764 2.489
Th Co H
2 1 1
Direct
0.082 0.082 0.753
0.255 0.255 0.234
0.667 0.667 0.000
0.496 0.496 0.513
```

* symmetry: No. 160
* distance to the lowest polymorph of the same formula: 71 meV/atom

***

[16]
## Ca4NdDy3Te8 (PBE)

Data for crystalline Ca4NdDy3Te8 at its relaxed geometry.

```
Ca4NdDy3Te8
1.0
8.816 0.000 0.000
0.000 8.952 0.090
-4.408 -4.404 6.237
Ca Nd Dy Te
4 1 3 8
Direct
0.500 0.000 0.000
0.500 0.000 0.500
0.000 0.000 0.000
0.000 0.000 0.500
0.000 0.500 0.000
0.500 0.500 0.000
0.500 0.500 0.500
0.000 0.500 0.500
0.252 0.748 0.996
0.253 0.748 0.505
0.252 0.256 0.504
0.744 0.748 0.996
0.256 0.252 0.004
0.748 0.744 0.496
0.747 0.252 0.495
0.748 0.252 0.004
```

* symmetry: No. 166
* formation energy without anion corrections: -1.467 eV/atom

***

[17]
## Sr2Tl2Te (PBE)

Data for crystalline Sr2Tl2Te at its relaxed geometry.

```
Sr2Tl2Te
1.0
8.647 0.000 0.000
0.000 8.647 0.000
0.000 0.000 5.280
Sr Tl Te
4 4 2
Direct
0.326 0.826 0.000
0.826 0.674 0.000
0.674 0.174 0.000
0.174 0.326 0.000
0.129 0.629 0.500
0.629 0.871 0.500
0.871 0.371 0.500
0.371 0.129 0.500
0.000 0.000 0.000
0.500 0.500 0.000
```

* symmetry: No. 127
* formation energy without anion corrections: -0.529 eV/atom

***

[18]
## Cs3Np2PaS6 (PBE)

Data for crystalline Cs3Np2PaS6 at its relaxed geometry.

```
Cs3Np2PaS6
1.0
-5.542 -3.882 2.239
6.438 -0.978 2.897
-1.968 7.237 3.894
Cs Np Pa S
3 2 1 6
Direct
0.168 0.832 0.500
0.832 0.168 0.500
0.500 0.500 0.500
0.333 0.667 0.000
0.667 0.333 0.000
0.000 0.000 0.000
0.939 0.612 0.818
0.733 0.733 0.182
0.061 0.388 0.182
0.612 0.939 0.818
0.267 0.267 0.818
0.388 0.061 0.182
```

* symmetry: No. 12
* formation energy without anion corrections: -1.395 eV/atom

***

[19]
## SrP2NCl (PBE)

Data for crystalline SrP2NCl at its relaxed geometry.

```
SrP2NCl
1.0
-1.269 -3.519 1.307
2.127 -1.812 -2.810
4.874 -0.313 3.890
Sr N P Cl
1 1 2 1
Direct
0.500 0.500 0.500
0.000 0.000 0.000
0.000 0.500 0.000
0.500 0.000 0.000
0.000 0.000 0.500
```

* symmetry: No. 123
* distance to the lowest polymorph of the same formula: 0 meV/atom
* formation energy without anion corrections: -0.089 eV/atom